The following is a PBE calculation of a relaxed Ce3TeOs crystal, from Alexandria.

Results
**Formation energy from raw total energies**: -540 meV per atom
**M_tot**: 1.82 μB/f.u.
**Calculated density**: 9.0 g cm⁻³
**Excess energy over the best structure of this formula in the dataset**: 0.066 eV/atom
**Calculated total energy**: -279.00 eV for the cell shown

Cell lengths 12.3755, 13.8599, 6.3808 Å; angles 90.00, 93.37, 90.00 degrees
Last column: nearest neighbours and their distance in Å.
Space group C2/c (No. 15)
One atom of each set of equivalent atoms:
Ce1 0.1095 0.1429 0.0583 [8 per cell]  1 Os 2.82, 1 Ce 3.07
Ce2 0.1206 0.3265 0.5930 [8 per cell]  1 Os 2.61
Ce3 0.1659 0.4195 0.0696 [8 per cell]  3 Os 2.70-2.98
Te1 0.1465 0.0910 0.5567 [8 per cell]  8 Ce 3.23-3.45
Os1 0.0000 0.2942 0.2500 [4 per cell]  4 Ce 2.61-2.82
Os2 0.0000 0.4922 0.7500 [4 per cell]  6 Ce 2.70-2.98, 1 Os 2.96